DFT (GGA+U) results for a relaxed ZnCoPO crystal.

Results
ρ	4.8	g/cm³
final energy	-35.58	eV for the cell shown

```
data_ZnCoPO
_chemical_formula_sum 'Zn2 Co2 P2 O2'
_space_group_name_H-M_alt 'P 1'
_space_group_IT_number 1
_cell_length_a 3.7813
_cell_length_b 3.7813
_cell_length_c 8.2733
_cell_angle_alpha 90.00
_cell_angle_beta 90.00
_cell_angle_gamma 90.00
loop_
_space_group_symop_operation_xyz
'x,y,z'
loop_
_atom_site_label
_atom_site_fract_x
_atom_site_fract_y
_atom_site_fract_z
Co1 0.0000 0.5000 0.0547
Co2 0.5000 0.0000 0.9453
O1 0.0000 0.0000 0.0000
O2 0.5000 0.5000 0.0000
P1 0.0000 0.5000 0.3225
P2 0.5000 0.0000 0.6775
Zn1 0.0000 0.0000 0.5000
Zn2 0.5000 0.5000 0.5000
```